This record from Alexandria describes a relaxed structure of CuHgMo2Rh. The functional is PBE.

a = 4.7111 Å, b = 4.7111 Å, c = 4.6853 Å
α = 90.00°, β = 90.00°, γ = 90.00°
Last column: nearest neighbours and their distance in Å.
Space group P4/mmm (No. 123)
One atom of each set of equivalent atoms:
Cu 0.0000 0.0000 0.0000 (multiplicity 1)  2 Rh 2.34
Hg 0.5000 0.5000 0.0000 (multiplicity 1)  8 Mo 3.32, 4 Cu 3.33
Mo 0.0000 0.5000 0.5000 (multiplicity 2)  2 Rh 2.36
Rh 0.0000 0.0000 0.5000 (multiplicity 1)  2 Cu 2.34, 4 Mo 2.36

Values from the calculation:
ρ = 8.925 Mg/m³
final energy = -5.33 eV per atom
density of states at the Fermi level = 5.69 states/eV per cell